1.
The following is a DFT calculation (PBE) of a relaxed Nd3Cu5O12 crystal.

Cell and atoms, written as POSCAR:
```
Nd3Cu5O12
1.0
-6.2913 6.2913 6.2913
6.2913 -6.2913 6.2913
6.2913 6.2913 -6.2913
Nd Cu O
12 20 48
Direct
0.1250 0.2500 0.3750
0.1250 0.3750 0.7500
0.2500 0.3750 0.1250
0.2500 0.8750 0.6250
0.3750 0.1250 0.2500
0.3750 0.7500 0.1250
0.6250 0.2500 0.8750
0.6250 0.8750 0.7500
0.7500 0.1250 0.3750
0.7500 0.6250 0.8750
0.8750 0.6250 0.2500
0.8750 0.7500 0.6250
0.0000 0.0000 0.0000
0.0000 0.0000 0.5000
0.0000 0.5000 0.0000
0.0000 0.5000 0.5000
0.1250 0.7500 0.8750
0.1250 0.8750 0.2500
0.2500 0.1250 0.8750
0.2500 0.6250 0.3750
0.3750 0.2500 0.6250
0.3750 0.6250 0.7500
0.5000 0.0000 0.0000
0.5000 0.0000 0.5000
0.5000 0.5000 0.0000
0.5000 0.5000 0.5000
0.6250 0.3750 0.2500
0.6250 0.7500 0.3750
0.7500 0.3750 0.6250
0.7500 0.8750 0.1250
0.8750 0.1250 0.7500
0.8750 0.2500 0.1250
0.0244 0.1978 0.1195
0.0244 0.3266 0.9049
0.0783 0.6978 0.6734
0.0783 0.8805 0.4049
0.0951 0.6195 0.4217
0.0951 0.9756 0.6734
0.1195 0.0244 0.1978
0.1195 0.5951 0.9217
0.1734 0.1978 0.5783
0.1734 0.4756 0.5951
0.1978 0.1195 0.0244
0.1978 0.5783 0.1734
0.3022 0.3266 0.9217
0.3022 0.4756 0.3805
0.3266 0.9049 0.0244
0.3266 0.9217 0.3022
0.3805 0.3022 0.4756
0.3805 0.5783 0.9049
0.4049 0.0783 0.8805
0.4049 0.8266 0.5244
0.4217 0.0951 0.6195
0.4217 0.8266 0.8022
0.4756 0.3805 0.3022
0.4756 0.5951 0.1734
0.5244 0.4049 0.8266
0.5244 0.6195 0.6978
0.5783 0.1734 0.1978
0.5783 0.9049 0.3805
0.5951 0.1734 0.4756
0.5951 0.9217 0.1195
0.6195 0.4217 0.0951
0.6195 0.6978 0.5244
0.6734 0.0783 0.6978
0.6734 0.0951 0.9756
0.6978 0.5244 0.6195
0.6978 0.6734 0.0783
0.8022 0.4217 0.8266
0.8022 0.8805 0.9756
0.8266 0.5244 0.4049
0.8266 0.8022 0.4217
0.8805 0.4049 0.0783
0.8805 0.9756 0.8022
0.9049 0.0244 0.3266
0.9049 0.3805 0.5783
0.9217 0.1195 0.5951
0.9217 0.3022 0.3266
0.9756 0.6734 0.0951
0.9756 0.8022 0.8805
```

formation energy (no corrections) = -1478 meV per atom
density of states at the Fermi level = 0.737 states/eV/atom
calculated total energy = -6.193 eV per atom

2.
The following is a DFT calculation (PBE) of a relaxed Nd5Cu5O13 crystal.

Cell and atoms, written as POSCAR:
```
Nd5Cu5O13
1.0
8.4744 0.0000 0.0000
0.0000 8.4744 0.0000
0.0000 0.0000 3.8380
Nd Cu O
5 5 13
Direct
0.0000 0.0000 0.0000
0.2380 0.6558 0.0000
0.3442 0.2380 0.0000
0.6558 0.7620 0.0000
0.7620 0.3442 0.0000
0.0642 0.3394 0.5000
0.3394 0.9358 0.5000
0.5000 0.5000 0.5000
0.6606 0.0642 0.5000
0.9358 0.6606 0.5000
0.0626 0.3175 0.0000
0.1144 0.7975 0.5000
0.2025 0.1144 0.5000
0.2561 0.4617 0.5000
0.3175 0.9374 0.0000
0.4617 0.7439 0.5000
0.5000 0.5000 0.0000
0.5383 0.2561 0.5000
0.6825 0.0626 0.0000
0.7439 0.5383 0.5000
0.7975 0.8856 0.5000
0.8856 0.2025 0.5000
0.9374 0.6825 0.0000
```

formation energy (no corrections) = -2037 meV per atom
density of states at the Fermi level = 0.341 states/eV/atom
calculated total energy = -6.767 eV per atom

3.
The following is a DFT calculation (PBE) of a relaxed Nd4Cu2O7 crystal.

Cell and atoms, written as POSCAR:
```
Nd4Cu2O7
1.0
6.4078 -1.8988 0.0000
6.4078 1.8988 0.0000
-2.8221 0.0000 8.0513
Nd Cu O
4 2 7
Direct
0.1432 0.1432 0.3342
0.1589 0.1589 0.8197
0.8411 0.8411 0.1803
0.8568 0.8568 0.6658
0.5000 0.5000 0.0000
0.5000 0.5000 0.5000
0.0000 0.0000 0.5000
0.2255 0.2255 0.1155
0.2473 0.2473 0.6198
0.4902 0.4902 0.2090
0.5098 0.5098 0.7910
0.7527 0.7527 0.3802
0.7745 0.7745 0.8845
```

formation energy (no corrections) = -2641 meV per atom
calculated total energy = -7.408 eV per atom

4.
The following is a DFT calculation (PBE) of a relaxed Nd3CuO6 crystal.

Cell and atoms, written as POSCAR:
```
Nd3CuO6
1.0
4.6192 -5.7755 0.0000
4.6192 5.7755 0.0000
0.0000 0.0000 5.6848
Nd Cu O
6 2 12
Direct
0.1041 0.8959 0.5000
0.2002 0.4132 0.4557
0.4132 0.2002 0.9557
0.5868 0.7998 0.4557
0.7998 0.5868 0.9557
0.8959 0.1041 0.0000
0.3122 0.6878 0.9295
0.6878 0.3122 0.4295
0.0876 0.6050 0.7481
0.1464 0.1721 0.7249
0.1721 0.1464 0.2249
0.2850 0.7150 0.2580
0.3950 0.9124 0.7481
0.4575 0.5425 0.7523
0.5425 0.4575 0.2523
0.6050 0.0876 0.2481
0.7150 0.2850 0.7580
0.8279 0.8536 0.7249
0.8536 0.8279 0.2249
0.9124 0.3950 0.2481
```

formation energy (no corrections) = -2588 meV per atom
density of states at the Fermi level = 0.152 states/eV/atom
calculated total energy = -7.403 eV per atom

5.
The following is a DFT calculation (PBE) of a relaxed NdCu2O4 crystal.

Cell and atoms, written as POSCAR:
```
NdCu2O4
1.0
0.0000 4.7109 6.0910
3.1635 0.0000 6.0910
3.1635 4.7109 0.0000
Nd Cu O
2 4 8
Direct
0.1250 0.1250 0.1250
0.8750 0.8750 0.8750
0.0000 0.5000 0.5000
0.5000 0.0000 0.5000
0.5000 0.5000 0.0000
0.5000 0.5000 0.5000
0.1644 0.3556 0.7315
0.2485 0.7315 0.3556
0.2685 0.7515 0.8356
0.3556 0.1644 0.2485
0.6444 0.8356 0.7515
0.7315 0.2485 0.1644
0.7515 0.2685 0.6444
0.8356 0.6444 0.2685
```

formation energy (no corrections) = -1530 meV per atom
energy above the lowest structure with this stoichiometry = 0.62 eV per formula unit
density of states at the Fermi level = 0.456 states/eV/atom
calculated total energy = -6.214 eV per atom

6.
The following is a DFT calculation (PBE) of a relaxed Nd12Cu6O25 crystal.

Cell and atoms, written as POSCAR:
```
Nd12Cu6O25
1.0
8.6211 -1.8801 0.0000
8.6211 1.8801 0.0000
-6.6071 0.0000 17.2573
Nd Cu O
12 6 25
Direct
0.0313 0.0313 0.2364
0.1432 0.1432 0.1031
0.1697 0.1697 0.9212
0.2385 0.2385 0.4023
0.3483 0.3483 0.2676
0.4471 0.4471 0.5709
0.5529 0.5529 0.4291
0.6517 0.6517 0.7324
0.7615 0.7615 0.5977
0.8303 0.8303 0.0788
0.8568 0.8568 0.8969
0.9687 0.9687 0.7636
0.1040 0.1040 0.5805
0.3110 0.3110 0.7481
0.4833 0.4833 0.0740
0.5167 0.5167 0.9260
0.6890 0.6890 0.2519
0.8960 0.8960 0.4195
0.0000 0.0000 0.5000
0.0197 0.0197 0.9109
0.0258 0.0258 0.6641
0.1695 0.1695 0.4889
0.1873 0.1873 0.2523
0.2104 0.2104 0.6575
0.2213 0.2213 0.8133
0.2497 0.2497 0.0572
0.3758 0.3758 0.6577
0.3859 0.3859 0.9860
0.3963 0.3963 0.4177
0.4146 0.4146 0.8373
0.4306 0.4306 0.1928
0.5694 0.5694 0.8072
0.5854 0.5854 0.1627
0.6037 0.6037 0.5823
0.6141 0.6141 0.0140
0.6242 0.6242 0.3423
0.7503 0.7503 0.9428
0.7787 0.7787 0.1867
0.7896 0.7896 0.3425
0.8127 0.8127 0.7477
0.8305 0.8305 0.5111
0.9742 0.9742 0.3359
0.9803 0.9803 0.0891
```

formation energy (no corrections) = -2474 meV per atom
density of states at the Fermi level = 0.159 states/eV/atom
calculated total energy = -7.259 eV per atom

7.
The following is a DFT calculation (PBE) of a relaxed NdCu2O4 crystal.

Cell and atoms, written as POSCAR:
```
NdCu2O4
1.0
-2.9225 2.9225 4.8776
2.9225 -2.9225 4.8776
2.9225 2.9225 -4.8776
Nd Cu O
2 4 8
Direct
0.3750 0.1250 0.2500
0.6250 0.8750 0.7500
0.0000 0.0000 0.5000
0.0000 0.5000 0.0000
0.0000 0.5000 0.5000
0.5000 0.5000 0.0000
0.0305 0.7075 0.8869
0.2075 0.8206 0.6770
0.3206 0.1436 0.6131
0.3564 0.4695 0.1770
0.6436 0.5305 0.8230
0.6794 0.8564 0.3869
0.7925 0.1794 0.3230
0.9695 0.2925 0.1131
```

formation energy (no corrections) = -1618 meV per atom
energy above the lowest structure with this stoichiometry = 0.00 eV per formula unit
density of states at the Fermi level = 0.356 states/eV/atom
calculated total energy = -6.303 eV per atom

8.
The following is a DFT calculation (PBE) of a relaxed NdPaCuO6 crystal.

Cell and atoms, written as POSCAR:
```
NdPaCuO6
1.0
5.4012 0.0000 0.0000
-2.7006 4.6776 0.0000
0.0000 0.0000 4.9225
Nd Pa Cu O
1 1 1 6
Direct
0.0000 0.0000 0.0000
0.6667 0.3333 0.5000
0.3333 0.6667 0.0000
0.0119 0.3817 0.2410
0.0119 0.6302 0.7590
0.3698 0.3817 0.7590
0.3698 0.9881 0.2410
0.6183 0.6302 0.2410
0.6183 0.9881 0.7590
```

formation energy (no corrections) = -2213 meV per atom
density of states at the Fermi level = 0.548 states/eV/atom
calculated total energy = -7.559 eV per atom

9.
The following is a DFT calculation (PBE) of a relaxed NdPaCuO5 crystal.

Cell and atoms, written as POSCAR:
```
NdPaCuO5
1.0
3.3690 -4.9005 0.0000
3.3690 4.9005 0.0000
-2.9753 0.0000 7.4114
Nd Pa Cu O
2 2 2 10
Direct
0.1667 0.8333 0.7500
0.8333 0.1667 0.2500
0.5000 0.5000 0.0000
0.5000 0.5000 0.5000
0.1725 0.8275 0.2500
0.8275 0.1725 0.7500
0.1308 0.1942 0.9217
0.1922 0.5985 0.3920
0.1942 0.1308 0.4217
0.4015 0.8078 0.1080
0.4062 0.5938 0.7500
0.5938 0.4062 0.2500
0.5985 0.1922 0.8920
0.8058 0.8692 0.5783
0.8078 0.4015 0.6080
0.8692 0.8058 0.0783
```

formation energy (no corrections) = -2655 meV per atom
density of states at the Fermi level = 0.299 states/eV/atom
calculated total energy = -8.049 eV per atom

10.
The following is a DFT calculation (PBE) of a relaxed NdPaCu2O8 crystal.

Cell and atoms, written as POSCAR:
```
NdPaCu2O8
1.0
-3.6358 3.6358 3.2470
3.6358 -3.6358 3.2470
3.6358 3.6358 -3.2470
Nd Pa Cu O
1 1 2 8
Direct
0.0000 0.0000 0.0000
0.7500 0.2500 0.5000
0.2500 0.7500 0.5000
0.5000 0.5000 0.0000
0.0412 0.3703 0.3292
0.0412 0.7120 0.6708
0.1188 0.3084 0.8104
0.2880 0.9588 0.3292
0.4980 0.3084 0.1896
0.6297 0.9588 0.6708
0.6916 0.5020 0.8104
0.6916 0.8812 0.1896
```

formation energy (no corrections) = -1704 meV per atom
density of states at the Fermi level = 0.526 states/eV/atom
calculated total energy = -6.881 eV per atom

11.
The following is a DFT calculation (PBE) of a relaxed NdCu4Pd3O12 crystal.

Cell and atoms, written as POSCAR:
```
NdCu4Pd3O12
1.0
-3.7516 3.7516 3.7516
3.7516 -3.7516 3.7516
3.7516 3.7516 -3.7516
Nd Cu Pd O
1 4 3 12
Direct
0.0000 0.0000 0.0000
0.0000 0.0000 0.5000
0.0000 0.5000 0.0000
0.5000 0.0000 0.0000
0.5000 0.5000 0.5000
0.0000 0.5000 0.5000
0.5000 0.0000 0.5000
0.5000 0.5000 0.0000
0.1231 0.8217 0.3014
0.1783 0.3014 0.4797
0.1783 0.6986 0.8769
0.3014 0.1231 0.8217
0.3014 0.4797 0.1783
0.4797 0.1783 0.3014
0.5203 0.8217 0.6986
0.6986 0.5203 0.8217
0.6986 0.8769 0.1783
0.8217 0.3014 0.1231
0.8217 0.6986 0.5203
0.8769 0.1783 0.6986
```

formation energy (no corrections) = -748 meV per atom
density of states at the Fermi level = 0.751 states/eV/atom
calculated total energy = -5.559 eV per atom

12.
The following is a DFT calculation (PBE) of a relaxed Nd2CuPdO5 crystal.

Cell and atoms, written as POSCAR:
```
Nd2CuPdO5
1.0
6.8143 0.0000 0.0000
0.0000 6.8143 0.0000
0.0000 0.0000 5.7328
Nd Cu Pd O
4 2 2 10
Direct
0.1741 0.3259 0.0000
0.3259 0.8259 0.0000
0.6741 0.1741 0.0000
0.8259 0.6741 0.0000
0.0000 0.0000 0.5000
0.5000 0.5000 0.5000
0.0000 0.5000 0.5000
0.5000 0.0000 0.5000
0.0000 0.0000 0.0000
0.1381 0.6381 0.2475
0.1381 0.6381 0.7525
0.3619 0.1381 0.2475
0.3619 0.1381 0.7525
0.5000 0.5000 0.0000
0.6381 0.8619 0.2475
0.6381 0.8619 0.7525
0.8619 0.3619 0.2475
0.8619 0.3619 0.7525
```

formation energy (no corrections) = -1730 meV per atom
density of states at the Fermi level = 0.777 states/eV/atom
calculated total energy = -6.576 eV per atom

13.
The following is a DFT calculation (PBE) of a relaxed NdCu3Pd4O12 crystal.

Cell and atoms, written as POSCAR:
```
NdCu3Pd4O12
1.0
-3.8133 3.8133 3.8133
3.8133 -3.8133 3.8133
3.8133 3.8133 -3.8133
Nd Cu Pd O
1 3 4 12
Direct
0.0000 0.0000 0.0000
0.0000 0.5000 0.5000
0.5000 0.0000 0.5000
0.5000 0.5000 0.0000
0.0000 0.0000 0.5000
0.0000 0.5000 0.0000
0.5000 0.0000 0.0000
0.5000 0.5000 0.5000
0.1454 0.8377 0.3077
0.1623 0.3077 0.4700
0.1623 0.6923 0.8546
0.3077 0.1454 0.8377
0.3077 0.4700 0.1623
0.4700 0.1623 0.3077
0.5300 0.8377 0.6923
0.6923 0.5300 0.8377
0.6923 0.8546 0.1623
0.8377 0.3077 0.1454
0.8377 0.6923 0.5300
0.8546 0.1623 0.6923
```

formation energy (no corrections) = -802 meV per atom
density of states at the Fermi level = 0.628 states/eV/atom
calculated total energy = -5.669 eV per atom

14.
The following is a DFT calculation (PBE) of a relaxed Nd2CuPtO6 crystal.

Cell and atoms, written as POSCAR:
```
Nd2CuPtO6
1.0
5.3433 0.0000 0.0000
0.0021 5.4762 0.0000
2.6637 2.6508 4.3818
Nd Cu Pt O
2 1 1 6
Direct
0.2481 0.2278 0.0033
0.7519 0.7722 0.9967
0.5000 0.0000 0.5000
0.0000 0.5000 0.5000
0.1811 0.1730 0.6401
0.2285 0.6319 0.0419
0.3226 0.8261 0.3593
0.6774 0.1739 0.6407
0.7715 0.3681 0.9581
0.8189 0.8270 0.3599
```

formation energy (no corrections) = -1950 meV per atom
density of states at the Fermi level = 0.083 states/eV/atom
calculated total energy = -6.892 eV per atom